(1)
Below is a geometry-optimized InNiF3 structure, with properties calculated at the PBE+U level.

The space group is Pm-3m (No. 221) and the conventional cell measures 4.358, 4.358 and 4.358 Å, with angles of 90.00, 90.00 and 90.00 degrees. The distinct sites, in fractional coordinates, are In at (0.000, 0.000, 0.000), Ni at (0.500, 0.500, 0.500) and F at (0.000, 0.000, 0.500).

The value obtained for the electronic total energy is -3.40 eV per atom. For the theoretical density, the calculation gives 4.623 g/cm3.

(2)
Below is a geometry-optimized InNiF structure, with properties calculated at the PBE+U level.

The space group is Pmmn (No. 59, origin choice 2) and the conventional cell measures 3.111, 3.292 and 8.857 Å, with angles of 90.00, 90.00 and 90.00 degrees. The distinct sites, in fractional coordinates, are In at (0.250, 0.250, 0.228), Ni at (0.250, 0.250, 0.931) and F at (0.250, 0.750, 0.604).

The value obtained for the electronic total energy is -2.92 eV per atom. The polymorph energy (0 for the lowest one) is 0.0420 eV/atom. For the theoretical density, the calculation gives 7.046 g/cm3.

(3)
Below is a geometry-optimized InNiF structure, with properties calculated at the PBE+U level.

The space group is P2_1/m (No. 11) and the conventional cell measures 3.798, 3.443 and 7.477 Å, with angles of 90.00, 102.97 and 90.00 degrees. The distinct sites, in fractional coordinates, are In at (0.135, 0.250, 0.233), Ni at (0.251, 0.750, 0.513) and F at (0.257, 0.750, 0.051).

The value obtained for the electronic total energy is -2.96 eV per atom. The polymorph energy (0 for the lowest one) is 0.0000 eV/atom. For the theoretical density, the calculation gives 6.710 g/cm3.